# 1
{
  "formula": "Li4MgTl3",
  "functional": "PBE-GGA",
  "state": "optimized geometry",
  "dos_at_fermi_per_ev_cell": 2.75,
  "magnetic_moment_mub_per_fu": 0.0,
  "crystal_system": "monoclinic",
  "volume_a3_per_fu": 167.7,
  "delta_e_f_kj_per_mol_atoms": -18,
  "sg": "C2/m",
  "lattice_angstrom": [[9.787, -1.838, 0.000], [9.787, 1.838, 0.000], [-1.136, 0.000, 4.661]],
  "species": ["Li", "Li", "Li", "Li", "Mg", "Tl", "Tl", "Tl"],
  "frac_coords": [[0.120, 0.120, 0.120], [0.257, 0.257, 0.758], [0.743, 0.743, 0.242], [0.880, 0.880, 0.880], [0.000, 0.000, 0.500], [0.359, 0.359, 0.359], [0.500, 0.500, 0.000], [0.641, 0.641, 0.641]]
}


# 2
{
  "formula": "Li2Mg2Tl5",
  "functional": "PBE-GGA",
  "state": "optimized geometry",
  "dos_at_fermi_per_ev_cell": 7.80,
  "magnetic_moment_mub_per_fu": 0.0,
  "crystal_system": "orthorhombic",
  "volume_a3_per_fu": 224.7,
  "delta_e_f_kj_per_mol_atoms": -4,
  "sg": "Cmce",
  "lattice_angstrom": [[7.648, -3.871, 0.000], [7.648, 3.871, 0.000], [0.000, 0.000, 7.590]],
  "species": ["Li", "Li", "Li", "Li", "Mg", "Mg", "Mg", "Mg", "Tl", "Tl", "Tl", "Tl", "Tl", "Tl", "Tl", "Tl", "Tl", "Tl"],
  "frac_coords": [[0.136, 0.864, 0.864], [0.364, 0.636, 0.364], [0.636, 0.364, 0.636], [0.864, 0.136, 0.136], [0.210, 0.210, 0.500], [0.290, 0.290, 0.000], [0.710, 0.710, 0.000], [0.790, 0.790, 0.500], [0.000, 0.000, 0.500], [0.036, 0.702, 0.164], [0.202, 0.536, 0.664], [0.298, 0.964, 0.164], [0.464, 0.798, 0.664], [0.500, 0.500, 0.000], [0.536, 0.202, 0.336], [0.702, 0.036, 0.836], [0.798, 0.464, 0.336], [0.964, 0.298, 0.836]]
}


# 3
{
  "formula": "LiMg4Tl5",
  "functional": "PBE-GGA",
  "state": "optimized geometry",
  "dos_at_fermi_per_ev_cell": 3.75,
  "magnetic_moment_mub_per_fu": 0.0,
  "crystal_system": "tetragonal",
  "volume_a3_per_fu": 241.0,
  "delta_e_f_kj_per_mol_atoms": -8,
  "sg": "P4/mmm",
  "lattice_angstrom": [[3.571, 0.000, 0.000], [0.000, 3.571, 0.000], [0.000, 0.000, 18.900]],
  "species": ["Li", "Mg", "Mg", "Mg", "Mg", "Tl", "Tl", "Tl", "Tl", "Tl"],
  "frac_coords": [[0.000, 0.000, 0.000], [0.000, 0.000, 0.192], [0.000, 0.000, 0.397], [0.000, 0.000, 0.603], [0.000, 0.000, 0.808], [0.500, 0.500, 0.091], [0.500, 0.500, 0.294], [0.500, 0.500, 0.500], [0.500, 0.500, 0.706], [0.500, 0.500, 0.909]]
}


# 4
{
  "formula": "LiMg2Tl",
  "functional": "PBE-GGA",
  "state": "optimized geometry",
  "dos_at_fermi_per_ev_cell": 1.23,
  "magnetic_moment_mub_per_fu": 0.0,
  "crystal_system": "monoclinic",
  "volume_a3_per_fu": 89.7,
  "delta_e_f_kj_per_mol_atoms": -7,
  "sg": "Pm",
  "lattice_angstrom": [[3.251, 0.000, 0.000], [0.000, 4.665, 0.000], [-1.499, 0.000, 5.917]],
  "species": ["Li", "Mg", "Mg", "Tl"],
  "frac_coords": [[0.000, 0.000, 0.000], [0.100, 0.000, 0.506], [0.518, 0.500, 0.240], [0.627, 0.500, 0.759]]
}


# 5
{
  "formula": "LiMg3Tl6",
  "functional": "PBE-GGA",
  "state": "optimized geometry",
  "dos_at_fermi_per_ev_cell": 9.09,
  "magnetic_moment_mub_per_fu": 0.0,
  "crystal_system": "trigonal",
  "volume_a3_per_fu": 265.0,
  "delta_e_f_kj_per_mol_atoms": -1,
  "sg": "R-3",
  "lattice_angstrom": [[6.862, 3.962, 3.249], [-6.862, 3.962, 3.249], [0.000, -7.924, 3.249]],
  "species": ["Li", "Li", "Mg", "Mg", "Mg", "Mg", "Mg", "Mg", "Tl", "Tl", "Tl", "Tl", "Tl", "Tl", "Tl", "Tl", "Tl", "Tl", "Tl", "Tl"],
  "frac_coords": [[0.000, 0.000, 0.000], [0.500, 0.500, 0.500], [0.102, 0.378, 0.247], [0.247, 0.102, 0.378], [0.378, 0.247, 0.102], [0.622, 0.753, 0.898], [0.753, 0.898, 0.622], [0.898, 0.622, 0.753], [0.058, 0.334, 0.869], [0.131, 0.942, 0.666], [0.206, 0.557, 0.651], [0.334, 0.869, 0.058], [0.349, 0.794, 0.443], [0.443, 0.349, 0.794], [0.557, 0.651, 0.206], [0.651, 0.206, 0.557], [0.666, 0.131, 0.942], [0.794, 0.443, 0.349], [0.869, 0.058, 0.334], [0.942, 0.666, 0.131]]
}


# 6
{
  "formula": "Li12Mg7Tl",
  "functional": "PBE-GGA",
  "state": "optimized geometry",
  "dos_at_fermi_per_ev_cell": 5.25,
  "magnetic_moment_mub_per_fu": 0.0,
  "crystal_system": "cubic",
  "volume_a3_per_fu": 543.0,
  "delta_e_f_kj_per_mol_atoms": 26,
  "sg": "Im-3",
  "lattice_angstrom": [[-5.139, 5.139, 5.139], [5.139, -5.139, 5.139], [5.139, 5.139, -5.139]],
  "species": ["Li", "Li", "Li", "Li", "Li", "Li", "Li", "Li", "Li", "Li", "Li", "Li", "Mg", "Mg", "Mg", "Mg", "Mg", "Mg", "Mg", "Tl"],
  "frac_coords": [[0.106, 0.749, 0.356], [0.251, 0.356, 0.607], [0.251, 0.644, 0.894], [0.356, 0.106, 0.749], [0.356, 0.607, 0.251], [0.393, 0.749, 0.644], [0.607, 0.251, 0.356], [0.644, 0.393, 0.749], [0.644, 0.894, 0.251], [0.749, 0.356, 0.106], [0.749, 0.644, 0.393], [0.894, 0.251, 0.644], [0.000, 0.000, 0.500], [0.000, 0.500, 0.000], [0.000, 0.500, 0.500], [0.500, 0.000, 0.000], [0.500, 0.000, 0.500], [0.500, 0.500, 0.000], [0.500, 0.500, 0.500], [0.000, 0.000, 0.000]]
}


What did the fourth record say?
{
  "formula": "LiMg2Tl",
  "functional": "PBE-GGA",
  "state": "optimized geometry",
  "dos_at_fermi_per_ev_cell": 1.23,
  "magnetic_moment_mub_per_fu": 0.0,
  "crystal_system": "monoclinic",
  "volume_a3_per_fu": 89.7,
  "delta_e_f_kj_per_mol_atoms": -7,
  "sg": "Pm",
  "lattice_angstrom": [[3.251, 0.000, 0.000], [0.000, 4.665, 0.000], [-1.499, 0.000, 5.917]],
  "species": ["Li", "Mg", "Mg", "Tl"],
  "frac_coords": [[0.000, 0.000, 0.000], [0.100, 0.000, 0.506], [0.518, 0.500, 0.240], [0.627, 0.500, 0.759]]
}